A plane-wave DFT calculation with GGA-PBE was carried out for a relaxed structure of Ac2Ni3Ag.

V: 22.7 Å³ per atom
Magnetic moment: 0.000 μB/cell

Structure (POSCAR):
```
Ac2Ni3Ag
1.0
-2.103 2.125 7.616
2.103 -2.125 7.616
2.103 2.125 -7.616
Ac Ni Ag
2 3 1
Direct
0.000 0.000 0.000
0.765 0.265 0.500
0.194 0.694 0.500
0.347 0.847 0.500
0.419 0.419 0.000
0.593 0.593 0.000
```

A plane-wave DFT calculation with GGA-PBE was carried out for a relaxed structure of Mg6Sn2Au.

V: 25.1 Å³ per atom
Magnetic moment: 0.000 μB/cell
Relative energy among the computed polymorphs: 0 meV/atom

Structure (POSCAR):
```
Mg6Sn2Au
1.0
7.484 -3.367 0.000
7.484 3.367 0.000
-1.479 0.000 4.477
Mg Sn Au
6 2 1
Direct
0.083 0.602 0.343
0.229 0.771 0.000
0.398 0.917 0.657
0.602 0.083 0.343
0.771 0.229 0.000
0.917 0.398 0.657
0.333 0.333 0.833
0.667 0.667 0.167
0.000 0.000 0.500
```

A plane-wave DFT calculation with GGA-PBE was carried out for a relaxed structure of Pr6Si2Te3I.

V: 31.8 Å³ per atom
Magnetic moment: 0.000 μB/cell
Uncorrected formation energy: -1178 meV/atom

Structure (POSCAR):
```
Pr6Si2Te3I
1.0
9.776 -2.206 0.000
9.776 2.206 0.000
-2.035 0.000 8.856
Pr Si Te I
6 2 3 1
Direct
0.018 0.018 0.274
0.324 0.324 0.880
0.327 0.327 0.430
0.673 0.673 0.570
0.676 0.676 0.120
0.982 0.982 0.726
0.170 0.170 0.337
0.830 0.830 0.663
0.158 0.158 0.838
0.500 0.500 0.500
0.842 0.842 0.162
0.500 0.500 0.000
```

A plane-wave DFT calculation with GGA-PBE was carried out for a relaxed structure of LiHPtSe.

V: 14.7 Å³ per atom
Magnetic moment: 0.000 μB/cell
Relative energy among the computed polymorphs: 175 meV/atom

Structure (POSCAR):
```
LiHPtSe
1.0
3.401 0.000 0.000
0.052 3.433 0.000
1.363 0.912 5.026
Li H Pt Se
1 1 1 1
Direct
0.000 0.000 0.000
0.521 0.513 0.993
0.660 0.626 0.659
0.229 0.163 0.462
```

A plane-wave DFT calculation with GGA-PBE was carried out for a relaxed structure of Er4Tl2InHg.

V: 26.2 Å³ per atom
Magnetic moment: 0.000 μB/cell

Structure (POSCAR):
```
Er4Tl2InHg
1.0
2.647 1.528 8.631
-2.647 1.528 8.631
0.000 -3.056 8.631
Er Tl In Hg
4 2 1 1
Direct
0.124 0.124 0.124
0.374 0.374 0.374
0.626 0.626 0.626
0.876 0.876 0.876
0.250 0.250 0.250
0.750 0.750 0.750
0.500 0.500 0.500
0.000 0.000 0.000
```

A plane-wave DFT calculation with GGA-PBE was carried out for a relaxed structure of Mg2PBr.

V: 21.8 Å³ per atom
Magnetic moment: 0.000 μB/cell
Relative energy among the computed polymorphs: 313 meV/atom
Uncorrected formation energy: -583 meV/atom

Structure (POSCAR):
```
Mg2PBr
1.0
3.568 0.000 0.000
0.000 3.436 0.000
-0.006 0.000 7.122
Mg P Br
2 1 1
Direct
0.002 0.000 0.190
0.998 0.000 0.810
0.500 0.500 0.000
0.000 0.500 0.500
```

A plane-wave DFT calculation with GGA-PBE was carried out for a relaxed structure of K2PaMnSe4.

V: 28.4 Å³ per atom
Magnetic moment: 5.998 μB/cell
Uncorrected formation energy: -1116 meV/atom

Structure (POSCAR):
```
K2PaMnSe4
1.0
7.113 0.000 0.000
0.000 4.155 0.000
-2.446 0.000 7.686
K Pa Mn Se
2 1 1 4
Direct
0.000 0.000 0.000
0.500 0.500 0.000
0.000 0.500 0.500
0.500 0.000 0.500
0.240 0.000 0.708
0.277 0.500 0.308
0.723 0.500 0.692
0.760 0.000 0.292
```

A plane-wave DFT calculation with GGA-PBE was carried out for a relaxed structure of SmZrZnIn.

V: 23.2 Å³ per atom
Magnetic moment: 0.000 μB/cell

Structure (POSCAR):
```
SmZrZnIn
1.0
0.000 3.594 3.594
3.594 0.000 3.594
3.594 3.594 0.000
Sm Zr Zn In
1 1 1 1
Direct
0.000 0.000 0.000
0.500 0.500 0.500
0.250 0.250 0.250
0.750 0.750 0.750
```

A plane-wave DFT calculation with GGA-PBE was carried out for a relaxed structure of NaCrReRu2.

V: 16.5 Å³ per atom
Magnetic moment: 0.593 μB/cell

Structure (POSCAR):
```
NaCrReRu2
1.0
4.304 0.000 0.000
0.000 4.304 0.000
0.000 0.000 4.441
Na Cr Re Ru
1 1 1 2
Direct
0.000 0.000 0.000
0.500 0.500 0.500
0.000 0.000 0.500
0.000 0.500 0.000
0.500 0.000 0.000
```

A plane-wave DFT calculation with GGA-PBE was carried out for a relaxed structure of K2Zn2Cd.

V: 32.5 Å³ per atom
Magnetic moment: 0.000 μB/cell
Relative energy among the computed polymorphs: 16 meV/atom

Structure (POSCAR):
```
K2Zn2Cd
1.0
-1.904 1.904 11.209
1.904 -1.904 11.209
1.904 1.904 -11.209
K Zn Cd
2 2 1
Direct
0.116 0.116 0.000
0.884 0.884 0.000
0.250 0.750 0.500
0.750 0.250 0.500
0.500 0.500 0.000
```

A plane-wave DFT calculation with GGA-PBE was carried out for a relaxed structure of InIr3.

V: 16.1 Å³ per atom
Magnetic moment: 0.000 μB/cell

Structure (POSCAR):
```
InIr3
1.0
5.156 0.000 0.000
0.000 9.098 0.000
0.000 0.000 5.485
In Ir
4 12
Direct
0.075 0.250 0.101
0.425 0.750 0.601
0.575 0.250 0.399
0.925 0.750 0.899
0.100 0.250 0.607
0.200 0.509 0.344
0.200 0.991 0.344
0.300 0.009 0.844
0.300 0.491 0.844
0.400 0.750 0.107
0.600 0.250 0.893
0.700 0.509 0.156
0.700 0.991 0.156
0.800 0.009 0.656
0.800 0.491 0.656
0.900 0.750 0.393
```

A plane-wave DFT calculation with GGA-PBE was carried out for a relaxed structure of Cr4TeBr.

V: 15.1 Å³ per atom
Magnetic moment: 0.005 μB/cell
Uncorrected formation energy: 936 meV/atom

Structure (POSCAR):
```
Cr4TeBr
1.0
0.000 3.567 3.567
3.567 0.000 3.567
3.567 3.567 0.000
Cr Te Br
4 1 1
Direct
0.377 0.377 0.377
0.377 0.377 0.869
0.377 0.869 0.377
0.869 0.377 0.377
0.000 0.000 0.000
0.750 0.750 0.750
```

A plane-wave DFT calculation with GGA-PBE was carried out for a relaxed structure of MnVMo.

V: 13.3 Å³ per atom
Magnetic moment: 0.000 μB/cell
Relative energy among the computed polymorphs: 0 meV/atom

Structure (POSCAR):
```
MnVMo
1.0
-1.493 1.493 4.487
1.493 -1.493 4.487
1.493 1.493 -4.487
Mn V Mo
1 1 1
Direct
0.000 0.000 0.000
0.657 0.657 0.000
0.332 0.332 0.000
```

A plane-wave DFT calculation with GGA-PBE was carried out for a relaxed structure of LiCaGa3.

V: 34.6 Å³ per atom
Magnetic moment: 0.000 μB/cell
Relative energy among the computed polymorphs: 942 meV/atom

Structure (POSCAR):
```
LiCaGa3
1.0
5.574 0.000 0.000
0.000 5.574 0.000
0.000 0.000 5.574
Li Ca Ga
1 1 3
Direct
0.000 0.000 0.000
0.500 0.500 0.500
0.000 0.500 0.500
0.500 0.000 0.500
0.500 0.500 0.000
```

A plane-wave DFT calculation with GGA-PBE was carried out for a relaxed structure of AgHgSe2.

V: 23.1 Å³ per atom
Magnetic moment: 0.000 μB/cell
Uncorrected formation energy: 230 meV/atom

Structure (POSCAR):
```
AgHgSe2
1.0
2.940 0.000 0.000
0.000 2.940 0.000
0.000 0.000 10.667
Ag Hg Se
1 1 2
Direct
0.000 0.000 0.000
0.500 0.500 0.218
0.000 0.000 0.461
0.500 0.500 0.803
```

A plane-wave DFT calculation with GGA-PBE was carried out for a relaxed structure of UMn2Al.

V: 14.9 Å³ per atom
Magnetic moment: 0.000 μB/cell

Structure (POSCAR):
```
UMn2Al
1.0
4.055 -2.910 0.000
4.055 2.910 0.000
-1.818 0.000 5.058
U Mn Al
2 4 2
Direct
0.139 0.861 0.750
0.861 0.139 0.250
0.181 0.304 0.829
0.304 0.181 0.329
0.696 0.819 0.671
0.819 0.696 0.171
0.367 0.633 0.250
0.633 0.367 0.750
```

A plane-wave DFT calculation with GGA-PBE was carried out for a relaxed structure of Ga2SnAuSe6.

V: 25.8 Å³ per atom
Magnetic moment: 0.000 μB/cell
Uncorrected formation energy: -283 meV/atom

Structure (POSCAR):
```
Ga2SnAuSe6
1.0
6.497 -5.970 0.000
6.497 5.970 0.000
-1.703 0.000 6.647
Ga Sn Au Se
4 2 2 12
Direct
0.104 0.288 0.292
0.288 0.104 0.792
0.712 0.896 0.208
0.896 0.712 0.708
0.238 0.762 0.250
0.762 0.238 0.750
0.380 0.620 0.750
0.620 0.380 0.250
0.057 0.219 0.606
0.121 0.586 0.891
0.219 0.057 0.106
0.307 0.479 0.386
0.414 0.879 0.609
0.479 0.307 0.886
0.521 0.693 0.114
0.586 0.121 0.391
0.693 0.521 0.614
0.781 0.943 0.894
0.879 0.414 0.109
0.943 0.781 0.394
```

A plane-wave DFT calculation with GGA-PBE was carried out for a relaxed structure of Ta2TiW.

V: 17.2 Å³ per atom
Magnetic moment: 0.000 μB/cell

Structure (POSCAR):
```
Ta2TiW
1.0
0.000 3.255 3.255
3.255 0.000 3.255
3.255 3.255 0.000
Ta Ti W
2 1 1
Direct
0.250 0.250 0.250
0.750 0.750 0.750
0.000 0.000 0.000
0.500 0.500 0.500
```

A plane-wave DFT calculation with GGA-PBE was carried out for a relaxed structure of Pm2Mg6Hg3.

V: 25.2 Å³ per atom
Magnetic moment: 0.000 μB/cell

Structure (POSCAR):
```
Pm2Mg6Hg3
1.0
8.500 0.000 0.000
-4.250 7.361 0.000
0.000 0.000 4.434
Pm Mg Hg
2 6 3
Direct
0.333 0.667 0.000
0.667 0.333 0.000
0.000 0.204 0.000
0.000 0.718 0.500
0.204 0.000 0.000
0.282 0.282 0.500
0.718 0.000 0.500
0.796 0.796 0.000
0.000 0.398 0.500
0.398 0.000 0.500
0.602 0.602 0.500
```

A plane-wave DFT calculation with GGA-PBE was carried out for a relaxed structure of CaInF.

V: 23.6 Å³ per atom
Magnetic moment: 0.000 μB/cell
Uncorrected formation energy: -1885 meV/atom

Structure (POSCAR):
```
CaInF
1.0
2.272 1.312 7.917
-2.272 1.312 7.917
0.000 -2.624 7.917
Ca In F
2 2 2
Direct
0.104 0.104 0.104
0.896 0.896 0.896
0.349 0.349 0.349
0.651 0.651 0.651
0.196 0.196 0.196
0.804 0.804 0.804
```

A plane-wave DFT calculation with GGA-PBE was carried out for a relaxed structure of Li2DyPd6.

V: 15.8 Å³ per atom
Magnetic moment: 0.000 μB/cell

Structure (POSCAR):
```
Li2DyPd6
1.0
4.638 -2.176 0.000
4.638 2.176 0.000
-4.392 0.000 7.042
Li Dy Pd
2 1 6
Direct
0.021 0.021 0.368
0.979 0.979 0.632
0.000 0.000 0.000
0.299 0.299 0.777
0.336 0.336 0.466
0.362 0.362 0.146
0.638 0.638 0.854
0.664 0.664 0.534
0.701 0.701 0.223
```

A plane-wave DFT calculation with GGA-PBE was carried out for a relaxed structure of NiAs2W.

V: 15.6 Å³ per atom
Magnetic moment: 0.000 μB/cell
Relative energy among the computed polymorphs: 96 meV/atom

Structure (POSCAR):
```
NiAs2W
1.0
3.083 0.000 0.000
0.000 4.358 0.000
-0.836 0.000 4.657
Ni As W
1 2 1
Direct
0.000 0.000 0.000
0.194 0.000 0.497
0.787 0.500 0.825
0.452 0.500 0.264
```

A plane-wave DFT calculation with GGA-PBE was carried out for a relaxed structure of Er2AlGa4.

V: 24.0 Å³ per atom
Magnetic moment: 0.000 μB/cell
Relative energy among the computed polymorphs: 519 meV/atom

Structure (POSCAR):
```
Er2AlGa4
1.0
-2.344 2.344 7.634
2.344 -2.344 7.634
2.344 2.344 -7.634
Er Al Ga
2 1 4
Direct
0.185 0.185 0.000
0.815 0.815 0.000
0.000 0.000 0.000
0.000 0.500 0.500
0.377 0.377 0.000
0.500 0.000 0.500
0.623 0.623 0.000
```

A plane-wave DFT calculation with GGA-PBE was carried out for a relaxed structure of CrSiPb2.

V: 22.4 Å³ per atom
Magnetic moment: 1.275 μB/cell
Uncorrected formation energy: 264 meV/atom

Structure (POSCAR):
```
CrSiPb2
1.0
3.229 0.000 0.000
0.000 3.229 0.000
0.000 0.000 8.604
Cr Si Pb
1 1 2
Direct
0.000 0.000 0.000
0.500 0.500 0.912
0.000 0.000 0.640
0.500 0.500 0.258
```

A plane-wave DFT calculation with GGA-PBE was carried out for a relaxed structure of Ag2Sn2Te.

V: 24.8 Å³ per atom
Magnetic moment: 0.000 μB/cell
Relative energy among the computed polymorphs: 6 meV/atom
Uncorrected formation energy: 69 meV/atom

Structure (POSCAR):
```
Ag2Sn2Te
1.0
8.818 0.000 0.000
0.000 8.818 0.000
0.000 0.000 3.195
Ag Sn Te
4 4 2
Direct
0.112 0.388 0.000
0.388 0.888 0.000
0.612 0.112 0.000
0.888 0.612 0.000
0.188 0.688 0.500
0.312 0.188 0.500
0.688 0.812 0.500
0.812 0.312 0.500
0.000 0.000 0.500
0.500 0.500 0.500
```

Calculated E_tot, -0.183; -0.094; -0.198; -0.145; -0.133; -0.116; -0.201; -0.168; -0.207; -0.038; -0.267; -0.231; -0.359; -0.073; -0.085; -0.310; -0.136; -0.411; -0.074; -0.150; -0.180; -0.253; -0.127; -0.197; -0.121 Ha/atom (same order as the records).